*A*
The following is a PBE calculation of an optimized crystal structure of MgTeBr2, from Alexandria via LeMat-Bulk.

abc: 6.119 3.524 6.864
angles: 90.00 105.79 90.00
Atoms (fractional coordinates):
Mg 0.000 0.000 0.000
Te 0.500 0.000 0.000
Br 0.163 0.500 0.279
Br 0.837 0.500 0.721

## Properties
Calculated density in g cm⁻³: 3.63


*B*
The following is a PBE calculation of an optimized crystal structure of MgTeBr2, from Alexandria via LeMat-Bulk.

abc: 5.768 5.768 5.768
angles: 130.99 130.99 71.82
Atoms (fractional coordinates):
Mg 0.000 0.000 0.000
Te 0.500 0.500 0.000
Br 0.250 0.750 0.500
Br 0.750 0.250 0.500

## Properties
Calculated density in g cm⁻³: 4.84


Short version: *B* is the least stable of them.


*A*
The following is a PBE calculation of an optimized crystal structure of Mg2TeBr, from Alexandria via LeMat-Bulk.

abc: 3.734 3.734 7.448
angles: 90.00 90.00 90.00
Atoms (fractional coordinates):
Mg 0.000 0.000 0.214
Mg 0.000 0.000 0.786
Te 0.500 0.500 0.000
Br 0.500 0.500 0.500

## Properties
Calculated density in g cm⁻³: 4.10


*B*
The following is a PBE calculation of an optimized crystal structure of Mg2TeBr, from Alexandria via LeMat-Bulk.

abc: 5.308 5.308 5.308
angles: 60.00 60.00 60.00
Atoms (fractional coordinates):
Mg 0.000 0.000 0.000
Mg 0.250 0.250 0.250
Te 0.750 0.750 0.750
Br 0.500 0.500 0.500

## Properties
Calculated density in g cm⁻³: 4.02


Short version: *B* is the least stable of them.


*A*
The following is a PBE calculation of an optimized crystal structure of Mg2TeBr, from Alexandria via LeMat-Bulk.

abc: 3.391 3.391 9.929
angles: 90.00 90.00 90.00
Atoms (fractional coordinates):
Mg 0.000 0.000 0.000
Mg 0.500 0.500 0.247
Te 0.000 0.000 0.447
Br 0.500 0.500 0.848

## Properties
Calculated density in g cm⁻³: 3.72


*B*
The following is a PBE calculation of an optimized crystal structure of Mg2TeBr, from Alexandria via LeMat-Bulk.

abc: 3.946 3.838 7.215
angles: 90.00 90.09 90.00
Atoms (fractional coordinates):
Mg 0.000 0.000 0.205
Mg 0.000 0.000 0.795
Te 0.500 0.500 0.000
Br 0.000 0.500 0.500

## Properties
Calculated density in g cm⁻³: 3.89


Short version: *A* is the least stable of them.


*A*
The following is a PBE calculation of an optimized crystal structure of MgTeBr, from Alexandria via LeMat-Bulk.

abc: 3.717 3.717 8.034
angles: 90.00 90.00 120.00
Atoms (fractional coordinates):
Mg 0.000 0.000 0.000
Te 0.667 0.333 0.256
Br 0.333 0.667 0.806

## Properties
Calculated density in g cm⁻³: 4.00


*B*
The following is a PBE calculation of an optimized crystal structure of MgTeBr, from Alexandria via LeMat-Bulk.

abc: 7.893 6.298 8.210
angles: 90.00 117.68 90.00
Atoms (fractional coordinates):
Mg 0.239 0.000 0.207
Mg 0.259 0.596 0.750
Mg 0.741 0.096 0.250
Mg 0.761 0.500 0.793
Te 0.141 0.971 0.506
Te 0.364 0.336 0.512
Te 0.636 0.836 0.488
Te 0.859 0.471 0.494
Br 0.117 0.676 0.984
Br 0.389 0.194 0.026
Br 0.611 0.694 0.974
Br 0.883 0.176 0.016

## Properties
Calculated density in g cm⁻³: 4.26


*C*
The following is a PBE calculation of an optimized crystal structure of MgTeBr, from Alexandria via LeMat-Bulk.

abc: 8.868 8.587 3.570
angles: 82.65 73.82 23.53
Atoms (fractional coordinates):
Mg 0.000 0.000 0.000
Te 0.627 0.627 0.373
Br 0.399 0.399 0.601

## Properties
Calculated density in g cm⁻³: 3.92


Short version: *C* is the least stable of them.